Arrangement A

# TiZnOF2, relaxed, DFT PBE
# - M_tot: 0.93 Bohr magnetons per cell
# - Volume: 65.3 Å³ per cell
data_TiZnOF2
_chemical_formula_sum 'Ti1 Zn1 O1 F2'
_cell_length_a 4.141
_cell_length_b 4.141
_cell_length_c 3.809
_cell_angle_alpha 90.00
_cell_angle_beta 90.00
_cell_angle_gamma 90.00
_symmetry_space_group_name_H-M 'P 1'
_symmetry_Int_Tables_number 1
loop_
_symmetry_equiv_pos_as_xyz
'x,y,z'
loop_
_atom_site_label
_atom_site_fract_x
_atom_site_fract_y
_atom_site_fract_z
_atom_site_occupancy
Ti1 0.000 0.000 0.000 1
Zn1 0.500 0.500 0.500 1
O1 0.000 0.000 0.500 1
F1 0.000 0.500 0.000 1
F2 0.500 0.000 0.000 1


Arrangement B

# TiZnOF2, relaxed, DFT PBE
# - M_tot: 2.00 Bohr magnetons per cell
# - Volume: 62.7 Å³ per cell
data_TiZnOF2
_chemical_formula_sum 'Ti1 Zn1 O1 F2'
_cell_length_a 3.953
_cell_length_b 3.953
_cell_length_c 4.014
_cell_angle_alpha 90.00
_cell_angle_beta 90.00
_cell_angle_gamma 90.00
_symmetry_space_group_name_H-M 'P 1'
_symmetry_Int_Tables_number 1
loop_
_symmetry_equiv_pos_as_xyz
'x,y,z'
loop_
_atom_site_label
_atom_site_fract_x
_atom_site_fract_y
_atom_site_fract_z
_atom_site_occupancy
Ti1 0.000 0.000 0.000 1
Zn1 0.500 0.500 0.500 1
O1 0.500 0.500 0.000 1
F1 0.000 0.500 0.500 1
F2 0.500 0.000 0.500 1


arrangement A takes first place; second place is 0.656 eV/atom up.


Arrangement A

# TlO2F2, relaxed, DFT PBE
# - M_tot: 3.92 Bohr magnetons per cell
# - Volume: 186.1 Å³ per cell
data_TlO2F2
_chemical_formula_sum 'Tl2 O4 F4'
_cell_length_a 6.458
_cell_length_b 6.458
_cell_length_c 4.462
_cell_angle_alpha 90.00
_cell_angle_beta 90.00
_cell_angle_gamma 90.00
_symmetry_space_group_name_H-M 'P 1'
_symmetry_Int_Tables_number 1
loop_
_symmetry_equiv_pos_as_xyz
'x,y,z'
loop_
_atom_site_label
_atom_site_fract_x
_atom_site_fract_y
_atom_site_fract_z
_atom_site_occupancy
Tl1 0.000 0.000 0.000 1
Tl2 0.500 0.500 0.000 1
O1 0.067 0.433 0.500 1
O2 0.433 0.933 0.500 1
O3 0.567 0.067 0.500 1
O4 0.933 0.567 0.500 1
F1 0.231 0.731 0.000 1
F2 0.269 0.231 0.000 1
F3 0.731 0.769 0.000 1
F4 0.769 0.269 0.000 1


Arrangement B

# TlO2F2, relaxed, DFT PBE
# - M_tot: 3.14 Bohr magnetons per cell
# - Volume: 165.1 Å³ per cell
data_TlO2F2
_chemical_formula_sum 'Tl2 O4 F4'
_cell_length_a 7.496
_cell_length_b 7.496
_cell_length_c 4.073
_cell_angle_alpha 105.32
_cell_angle_beta 105.32
_cell_angle_gamma 121.17
_symmetry_space_group_name_H-M 'P 1'
_symmetry_Int_Tables_number 1
loop_
_symmetry_equiv_pos_as_xyz
'x,y,z'
loop_
_atom_site_label
_atom_site_fract_x
_atom_site_fract_y
_atom_site_fract_z
_atom_site_occupancy
Tl1 0.193 0.807 0.000 1
Tl2 0.807 0.193 0.000 1
O1 0.199 0.199 0.129 1
O2 0.363 0.363 0.114 1
O3 0.637 0.637 0.886 1
O4 0.801 0.801 0.871 1
F1 0.040 0.406 0.716 1
F2 0.406 0.040 0.716 1
F3 0.594 0.960 0.284 1
F4 0.960 0.594 0.284 1


arrangement B takes first place; second place is 0.051 eV/atom up.


Arrangement A

# Tl3OF, relaxed, DFT PBE
# - M_tot: 0.00 Bohr magnetons per cell
# - Volume: 260.4 Å³ per cell
data_Tl3OF
_chemical_formula_sum 'Tl6 O2 F2'
_cell_length_a 7.290
_cell_length_b 7.290
_cell_length_c 12.212
_cell_angle_alpha 121.53
_cell_angle_beta 121.53
_cell_angle_gamma 28.46
_symmetry_space_group_name_H-M 'P 1'
_symmetry_Int_Tables_number 1
loop_
_symmetry_equiv_pos_as_xyz
'x,y,z'
loop_
_atom_site_label
_atom_site_fract_x
_atom_site_fract_y
_atom_site_fract_z
_atom_site_occupancy
Tl1 0.070 0.070 0.403 1
Tl2 0.272 0.272 0.246 1
Tl3 0.410 0.410 0.082 1
Tl4 0.590 0.590 0.918 1
Tl5 0.728 0.728 0.754 1
Tl6 0.930 0.930 0.597 1
O1 0.113 0.113 0.791 1
O2 0.887 0.887 0.209 1
F1 0.393 0.393 0.712 1
F2 0.607 0.607 0.288 1


Arrangement B

# Tl3OF, relaxed, DFT PBE
# - M_tot: 0.03 Bohr magnetons per cell
# - Volume: 140.7 Å³ per cell
data_Tl3OF
_chemical_formula_sum 'Tl3 O1 F1'
_cell_length_a 5.202
_cell_length_b 5.202
_cell_length_c 5.202
_cell_angle_alpha 90.00
_cell_angle_beta 90.00
_cell_angle_gamma 90.00
_symmetry_space_group_name_H-M 'P 1'
_symmetry_Int_Tables_number 1
loop_
_symmetry_equiv_pos_as_xyz
'x,y,z'
loop_
_atom_site_label
_atom_site_fract_x
_atom_site_fract_y
_atom_site_fract_z
_atom_site_occupancy
Tl1 0.000 0.000 0.500 1
Tl2 0.000 0.500 0.000 1
Tl3 0.500 0.000 0.000 1
O1 0.000 0.000 0.000 1
F1 0.500 0.500 0.500 1


arrangement A takes first place; second place is 0.398 eV/atom up.